[1]
Compound: AlZn4Cu3
Source: Alexandria
Functional: PBE-GGA
Structure: relaxed

The structure belongs to space group C2/m (No. 12); the cell edges are 17.8307, 2.7221 and 4.6053 Å and the angles 90.00°, 104.36° and 90.00°. The asymmetric unit holds Al at (0.0000, 0.0000, 0.0000), Zn at (0.1239, 0.0000, 0.4818), Zn at (0.2469, 0.0000, 0.2424), Cu at (0.0000, 0.5000, 0.5000) and Cu at (0.1220, 0.5000, 0.9703).

The formation energy is -92 meV per atom.



[2]
Compound: AlZn5Cu6
Source: Alexandria
Functional: PBE-GGA
Structure: relaxed

The structure belongs to space group Cmmm (No. 65); the cell edges are 4.2120, 12.6653 and 5.8813 Å and the angles 90.00°, 90.00° and 90.00°. The asymmetric unit holds Al at (0.0000, 0.0000, 0.0000), Zn at (0.0000, 0.0000, 0.5000), Zn at (0.0000, 0.3324, 0.0000), Zn at (0.0000, 0.3326, 0.5000), Cu at (0.0000, 0.1655, 0.2493) and Cu at (0.0000, 0.5000, 0.2482).

The formation energy is -112 meV per atom.



[3]
Compound: Al2ZnCu
Source: Alexandria
Functional: PBE-GGA
Structure: relaxed

The structure belongs to space group R3m (No. 160, hexagonal axes); the cell edges are 2.8376, 2.8376 and 25.5550 Å and the angles 90.00°, 90.00° and 120.00°. The asymmetric unit holds Al at (0.0000, 0.0000, 0.0000), Al at (0.0000, 0.0000, 0.1755), Zn at (0.0000, 0.0000, 0.4214) and Cu at (0.0000, 0.0000, 0.5876).

The formation energy is -26 meV per atom.



[4]
Compound: Al2ZnCu
Source: Alexandria
Functional: PBE-GGA
Structure: relaxed

The structure belongs to space group Pmmm (No. 47); the cell edges are 2.8061, 3.8044 and 5.5394 Å and the angles 90.00°, 90.00° and 90.00°. The asymmetric unit holds Al at (0.0000, 0.0000, 0.2424), Zn at (0.5000, 0.5000, 0.5000) and Cu at (0.5000, 0.5000, 0.0000).

The formation energy is -48 meV per atom.



[5]
Compound: Al3ZnCu
Source: Alexandria
Functional: PBE-GGA
Structure: relaxed

The structure belongs to space group Pm-3m (No. 221); the cell edges are 4.6836, 4.6836 and 4.6836 Å and the angles 90.00°, 90.00° and 90.00°. The asymmetric unit holds Al at (0.0000, 0.0000, 0.5000), Zn at (0.0000, 0.0000, 0.0000) and Cu at (0.5000, 0.5000, 0.5000).

The formation energy is 700 meV per atom.



[6]
Compound: AlZnCu3
Source: Alexandria
Functional: PBE-GGA
Structure: relaxed

The structure belongs to space group Cmcm (No. 63); the cell edges are 6.4317, 11.0900 and 4.6096 Å and the angles 90.00°, 90.00° and 90.00°. The asymmetric unit holds Al at (0.0000, 0.1966, 0.2500), Zn at (0.0000, 0.4507, 0.2500), Cu at (0.0000, 0.0000, 0.0000) and Cu at (0.1872, 0.1823, 0.7500).

The formation energy is 187 meV per atom.